No. 1
A plane-wave DFT calculation with GGA-PBE was carried out for crystalline MgTcN2 at its relaxed geometry.

Summary:
Raw formation energy, eV per atom: 0.21
Symmetry: R-3m (166)

Unit cell a=6.704 b=6.704 c=6.704 alpha=25.51 beta=25.51 gamma=25.51
Fractional positions:
Mg1 0.000 0.000 0.000
Tc1 0.500 0.500 0.500
N1 0.895 0.895 0.895
N2 0.105 0.105 0.105


No. 2
A plane-wave DFT calculation with GGA-PBE was carried out for crystalline Mg3Tc5N12 at its relaxed geometry.

Summary:
Raw formation energy, eV per atom: 0.10
Symmetry: Ia-3d (230)

Unit cell a=10.761 b=10.761 c=10.761 alpha=109.47 beta=109.47 gamma=109.47
Fractional positions:
Mg1 0.750 0.375 0.125
Mg2 0.875 0.750 0.125
Mg3 0.375 0.750 0.625
Mg4 0.250 0.125 0.375
Mg5 0.875 0.125 0.250
Mg6 0.375 0.625 0.250
Mg7 0.625 0.375 0.750
Mg8 0.125 0.875 0.750
Mg9 0.750 0.875 0.625
Mg10 0.625 0.250 0.375
Mg11 0.125 0.250 0.875
Mg12 0.250 0.625 0.875
Tc1 0.125 0.375 0.250
Tc2 0.000 0.500 0.000
Tc3 0.000 0.000 0.000
Tc4 0.375 0.250 0.125
Tc5 0.500 0.000 0.500
Tc6 0.500 0.500 0.000
Tc7 0.125 0.750 0.375
Tc8 0.750 0.125 0.875
Tc9 0.750 0.625 0.375
Tc10 0.375 0.125 0.750
Tc11 0.625 0.875 0.250
Tc12 0.500 0.500 0.500
Tc13 0.500 0.000 0.000
Tc14 0.000 0.000 0.500
Tc15 0.250 0.375 0.625
Tc16 0.250 0.875 0.125
Tc17 0.000 0.500 0.500
Tc18 0.875 0.250 0.625
Tc19 0.625 0.750 0.875
Tc20 0.875 0.625 0.750
N1 0.705 0.114 0.022
N2 0.317 0.522 0.408
N3 0.978 0.386 0.295
N4 0.522 0.205 0.114
N5 0.591 0.705 0.683
N6 0.978 0.592 0.183
N7 0.317 0.795 0.409
N8 0.092 0.909 0.114
N9 0.592 0.978 0.683
N10 0.705 0.591 0.183
N11 0.795 0.478 0.386
N12 0.817 0.908 0.022
N13 0.114 0.705 0.522
N14 0.386 0.408 0.091
N15 0.091 0.908 0.386
N16 0.409 0.114 0.592
N17 0.091 0.183 0.205
N18 0.478 0.683 0.092
N19 0.817 0.909 0.295
N20 0.114 0.409 0.092
N21 0.386 0.978 0.795
N22 0.592 0.614 0.409
N23 0.908 0.817 0.522
N24 0.795 0.317 0.909
N25 0.408 0.386 0.591
N26 0.092 0.183 0.478
N27 0.205 0.683 0.091
N28 0.183 0.091 0.705
N29 0.614 0.022 0.205
N30 0.886 0.591 0.908
N31 0.522 0.317 0.908
N32 0.591 0.886 0.408
N33 0.909 0.817 0.795
N34 0.909 0.092 0.614
N35 0.886 0.295 0.478
N36 0.183 0.092 0.978
N37 0.614 0.592 0.909
N38 0.408 0.022 0.317
N39 0.295 0.409 0.817
N40 0.205 0.522 0.614
N41 0.908 0.091 0.886
N42 0.683 0.205 0.591
N43 0.478 0.795 0.886
N44 0.022 0.408 0.817
N45 0.409 0.295 0.317
N46 0.022 0.614 0.705
N47 0.683 0.478 0.592
N48 0.295 0.886 0.978


No. 3
A plane-wave DFT calculation with GGA-PBE was carried out for crystalline Mg3TcN4 at its relaxed geometry.

Summary:
Raw formation energy, eV per atom: -0.55
Symmetry: Pmn2_1 (31)

Unit cell a=5.313 b=5.854 c=6.751 alpha=90.00 beta=90.00 gamma=90.00
Each line ends with the local moment (μB).
Fractional positions:
Mg1 0.510 0.842 0.000  0.01
Mg2 0.010 0.669 0.248  0.01
Mg3 0.510 0.331 0.252  0.01
Mg4 0.010 0.158 0.500  0.01
Mg5 0.510 0.331 0.748  0.01
Mg6 0.010 0.669 0.752  0.01
Tc1 0.003 0.170 0.000  0.69
Tc2 0.503 0.830 0.500  0.69
N1 0.109 0.866 0.000  0.04
N2 0.652 0.176 0.000  0.03
N3 0.110 0.322 0.230  0.02
N4 0.610 0.678 0.270  0.02
N5 0.152 0.824 0.500  0.03
N6 0.609 0.134 0.500  0.04
N7 0.610 0.678 0.730  0.02
N8 0.110 0.322 0.770  0.02